# 1
A plane-wave DFT calculation with PBEsol was carried out for a geometry-optimized CoSe3 structure.

Calculated values
- Total magnetization: 0.000 μB per atom
- Energy above the lowest structure with this stoichiometry: 0 meV per atom
- Energy: -4.95 eV per atom
- ΔE_f (raw): -0.132 eV/atom

a = 4.866 Å, b = 8.187 Å, c = 3.456 Å
α = 90.00°, β = 90.00°, γ = 90.00°
Space group Cmmm (No. 65)
Inequivalent atoms, fractional coordinates:
Co (0.000, 0.000, 0.000) [2 per cell]
Se (0.000, 0.192, 0.500) [4 per cell]
Se (0.000, 0.500, 0.000) [2 per cell]



# 2
A plane-wave DFT calculation with PBEsol was carried out for a geometry-optimized Co4Se structure.

Calculated values
- Total magnetization: 1.104 μB per atom
- Energy: -6.59 eV per atom
- ΔE_f (raw): 0.366 eV/atom

a = 3.192 Å, b = 3.192 Å, c = 12.081 Å
α = 90.00°, β = 90.00°, γ = 90.00°
Space group I4/mmm (No. 139)
Inequivalent atoms, fractional coordinates:
Co (0.000, 0.000, 0.102) [4 per cell]
Co (0.000, 0.500, 0.250) [4 per cell]
Se (0.000, 0.000, 0.500) [2 per cell]



Q: Which formula does entry 1 have?
A: CoSe3



Q: Among the records above, which one has the lowest total magnetization?
A: CoSe3



Q: The highest total magnetization belongs to which entry?
A: Co4Se